1.
A plane-wave DFT calculation with PBE was carried out for a relaxed K2RbNaH crystal. Values from VASP.

Values from the calculation:
D(E_F) = 3.60 states/eV/cell
distance to the lowest polymorph of the same formula = 0.000 eV per atom
magnetization = 0.0 μB/f.u.
crystal system = tetragonal

Geometry as Quantum ESPRESSO input:
```
&SYSTEM
  ibrav = 0, nat = 5, ntyp = 4
/
ATOMIC_SPECIES
K 39.10 K.upf
Rb 85.47 Rb.upf
Na 22.99 Na.upf
H 1.01 H.upf
ATOMIC_POSITIONS crystal
K 0.0000 0.5000 0.0000
K 0.5000 0.0000 0.0000
Rb 0.0000 0.0000 0.5000
Na 0.5000 0.5000 0.5000
H 0.0000 0.0000 0.0000
CELL_PARAMETERS angstrom
5.9142 0.0000 0.0000
0.0000 5.9142 0.0000
0.0000 0.0000 6.3513
```



2.
A plane-wave DFT calculation with PBE was carried out for a relaxed K2Rb6NaH crystal. Values from VASP.

Values from the calculation:
D(E_F) = 7.38 states/eV/cell
uncorrected energy = -1.222 eV/atom
magnetization = 0.0 μB/f.u.
crystal system = monoclinic

Geometry as Quantum ESPRESSO input:
```
&SYSTEM
  ibrav = 0, nat = 10, ntyp = 4
/
ATOMIC_SPECIES
K 39.10 K.upf
Rb 85.47 Rb.upf
Na 22.99 Na.upf
H 1.01 H.upf
ATOMIC_POSITIONS crystal
K 0.2488 0.7512 0.0000
K 0.7512 0.2488 0.0000
Rb 0.2754 0.2754 0.0499
Rb 0.2753 0.7245 0.4996
Rb 0.2767 0.2767 0.5007
Rb 0.7245 0.2753 0.4996
Rb 0.7238 0.7238 0.4988
Rb 0.7249 0.7249 0.9496
Na 0.0004 0.0004 0.4997
H 0.5000 0.5000 0.4998
CELL_PARAMETERS angstrom
6.9630 -7.0110 0.0000
6.9630 7.0110 0.0000
-6.9594 0.0000 7.0497
```



3.
A plane-wave DFT calculation with PBE was carried out for a relaxed KRb2NaH crystal. Values from VASP.

Values from the calculation:
D(E_F) = 2.84 states/eV/cell
distance to the lowest polymorph of the same formula = 0.074 eV per atom
magnetization = 0.5 μB/f.u.
crystal system = tetragonal

Geometry as Quantum ESPRESSO input:
```
&SYSTEM
  ibrav = 0, nat = 5, ntyp = 4
/
ATOMIC_SPECIES
K 39.10 K.upf
Rb 85.47 Rb.upf
Na 22.99 Na.upf
H 1.01 H.upf
ATOMIC_POSITIONS crystal
K 0.0000 0.0000 0.0000
Rb 0.0000 0.5000 0.5000
Rb 0.5000 0.0000 0.5000
Na 0.5000 0.5000 0.0000
H 0.5000 0.5000 0.5000
CELL_PARAMETERS angstrom
5.9273 0.0000 0.0000
0.0000 5.9273 0.0000
0.0000 0.0000 7.0963
```



4.
A plane-wave DFT calculation with PBE was carried out for a relaxed KRb2NaH crystal. Values from VASP.

Values from the calculation:
D(E_F) = 3.59 states/eV/cell
distance to the lowest polymorph of the same formula = 0.000 eV per atom
magnetization = 0.0 μB/f.u.
crystal system = tetragonal

Geometry as Quantum ESPRESSO input:
```
&SYSTEM
  ibrav = 0, nat = 5, ntyp = 4
/
ATOMIC_SPECIES
K 39.10 K.upf
Rb 85.47 Rb.upf
Na 22.99 Na.upf
H 1.01 H.upf
ATOMIC_POSITIONS crystal
K 0.0000 0.0000 0.0000
Rb 0.0000 0.5000 0.5000
Rb 0.5000 0.0000 0.5000
Na 0.5000 0.5000 0.0000
H 0.0000 0.0000 0.5000
CELL_PARAMETERS angstrom
6.3379 0.0000 0.0000
0.0000 6.3379 0.0000
0.0000 0.0000 5.8553
```



5.
A plane-wave DFT calculation with PBE was carried out for a relaxed KNaReH9 crystal. Values from VASP.

Values from the calculation:
D(E_F) = 0.00 states/eV/cell
uncorrected energy = -4.029 eV/atom
magnetization = 0.0 μB/f.u.
crystal system = orthorhombic

Geometry as Quantum ESPRESSO input:
```
&SYSTEM
  ibrav = 0, nat = 48, ntyp = 4
/
ATOMIC_SPECIES
K 39.10 K.upf
Na 22.99 Na.upf
Re 186.21 Re.upf
H 1.01 H.upf
ATOMIC_POSITIONS crystal
K 0.0276 0.2500 0.1755
K 0.4724 0.7500 0.6755
K 0.5276 0.2500 0.3245
K 0.9724 0.7500 0.8245
Na 0.1372 0.2500 0.5770
Na 0.3628 0.7500 0.0770
Na 0.6372 0.2500 0.9230
Na 0.8628 0.7500 0.4230
Re 0.2295 0.7500 0.3842
Re 0.2705 0.2500 0.8842
Re 0.7295 0.7500 0.1158
Re 0.7705 0.2500 0.6158
H 0.0858 0.2500 0.8615
H 0.0961 0.5253 0.3978
H 0.0961 0.9747 0.3978
H 0.1190 0.7500 0.2488
H 0.1626 0.7500 0.5427
H 0.1863 0.0222 0.9765
H 0.1863 0.4778 0.9765
H 0.2211 0.0241 0.7729
H 0.2211 0.4759 0.7729
H 0.2789 0.5241 0.2729
H 0.2789 0.9759 0.2729
H 0.3137 0.5222 0.4765
H 0.3137 0.9778 0.4765
H 0.3374 0.2500 0.0427
H 0.3810 0.2500 0.7488
H 0.4039 0.0253 0.8978
H 0.4039 0.4747 0.8978
H 0.4142 0.7500 0.3615
H 0.5858 0.2500 0.6385
H 0.5961 0.5253 0.1022
H 0.5961 0.9747 0.1022
H 0.6190 0.7500 0.2512
H 0.6626 0.7500 0.9573
H 0.6863 0.0222 0.5235
H 0.6863 0.4778 0.5235
H 0.7211 0.0241 0.7271
H 0.7211 0.4759 0.7271
H 0.7789 0.5241 0.2271
H 0.7789 0.9759 0.2271
H 0.8137 0.5222 0.0235
H 0.8137 0.9778 0.0235
H 0.8374 0.2500 0.4573
H 0.8810 0.2500 0.7512
H 0.9039 0.0253 0.6022
H 0.9039 0.4747 0.6022
H 0.9142 0.7500 0.1385
CELL_PARAMETERS angstrom
9.0060 0.0000 0.0000
0.0000 5.3814 0.0000
0.0000 0.0000 9.9682
```



6.
A plane-wave DFT calculation with PBE was carried out for a relaxed KNaH4Rh crystal. Values from VASP.

Values from the calculation:
D(E_F) = 1.41 states/eV/cell
uncorrected energy = -3.582 eV/atom
magnetization = 0.0 μB/f.u.
crystal system = orthorhombic

Geometry as Quantum ESPRESSO input:
```
&SYSTEM
  ibrav = 0, nat = 14, ntyp = 4
/
ATOMIC_SPECIES
K 39.10 K.upf
Na 22.99 Na.upf
H 1.01 H.upf
Rh 102.91 Rh.upf
ATOMIC_POSITIONS crystal
K 0.0923 0.9077 0.7500
K 0.9077 0.0923 0.2500
Na 0.3659 0.6341 0.7500
Na 0.6341 0.3659 0.2500
H 0.0000 0.5000 0.0000
H 0.0000 0.5000 0.5000
H 0.1178 0.8822 0.2500
H 0.3884 0.6116 0.2500
H 0.5000 0.0000 0.0000
H 0.5000 0.0000 0.5000
H 0.6116 0.3884 0.7500
H 0.8822 0.1178 0.7500
Rh 0.2518 0.7482 0.2500
Rh 0.7482 0.2518 0.7500
CELL_PARAMETERS angstrom
2.6165 -6.3229 0.0000
2.6165 6.3229 0.0000
0.0000 0.0000 5.2214
```